A plane-wave DFT calculation with GGA-PBE was carried out for crystalline NbFeReSn at its relaxed geometry.

Summary:
* crystal system: cubic
* magnetic moment: 0.00 μB per atom
* theoretical density: 11.91 g/cm³
* uncorrected energy: -8.6311 eV/atom
* energy above the most stable polymorph in this dataset: 0.00 eV/f.u.

abc: 6.324 6.324 6.324
angles: 90.00 90.00 90.00
Space group F-43m (No. 216)
Symmetry-distinct sites (fractional):
Nb  0.000  0.000  0.000 x4
Fe  0.250  0.250  0.750 x4
Re  0.250  0.250  0.250 x4
Sn  0.000  0.000  0.500 x4